(1)
Computed, not measured: LaMgHg after structural relaxation at the PBE level of DFT. Values from VASP.

```
&SYSTEM
  ibrav = 0, nat = 6, ntyp = 3
/
ATOMIC_SPECIES
Hg 200.59 Hg.upf
Mg 24.30 Mg.upf
La 138.91 La.upf
CELL_PARAMETERS angstrom
3.585 0.000 0.000
0.000 5.250 0.000
0.001 0.000 8.851
ATOMIC_POSITIONS crystal
Hg 0.811 0.716 0.798
Mg 0.810 0.216 0.319
Mg 0.813 0.716 0.474
La 0.312 0.216 0.669
Hg 0.812 0.216 0.995
La 0.312 0.716 0.124
```

Space-group type: P2_1/m
Total moment: 0.00 μB/cell


(2)
Computed, not measured: La14MgHg after structural relaxation at the PBE level of DFT. Values from VASP.

```
&SYSTEM
  ibrav = 0, nat = 16, ntyp = 3
/
ATOMIC_SPECIES
Mg 24.30 Mg.upf
La 138.91 La.upf
Hg 200.59 Hg.upf
CELL_PARAMETERS angstrom
7.277 -0.015 0.000
0.015 7.277 0.000
0.000 0.000 10.446
ATOMIC_POSITIONS crystal
Mg 0.875 0.875 0.500
La 0.375 0.375 0.000
Hg 0.375 0.375 0.500
La 0.127 0.623 0.745
La 0.623 0.127 0.745
La 0.875 0.375 0.000
La 0.875 0.875 0.000
La 0.623 0.127 0.255
La 0.127 0.127 0.745
La 0.623 0.623 0.745
La 0.127 0.623 0.255
La 0.875 0.375 0.500
La 0.127 0.127 0.255
La 0.375 0.875 0.500
La 0.375 0.875 0.000
La 0.623 0.623 0.255
```

Space-group type: P4/mmm
Total moment: 0.00 μB/cell


(3)
Computed, not measured: LaMg2Hg after structural relaxation at the PBE level of DFT. Values from VASP.

```
&SYSTEM
  ibrav = 0, nat = 4, ntyp = 3
/
ATOMIC_SPECIES
Mg 24.30 Mg.upf
Hg 200.59 Hg.upf
La 138.91 La.upf
CELL_PARAMETERS angstrom
4.553 0.000 0.000
0.000 4.703 0.000
0.000 0.000 5.057
ATOMIC_POSITIONS crystal
Mg 0.500 0.500 0.000
Mg 0.000 0.000 0.000
Hg 0.500 0.000 0.500
La 0.000 0.500 0.500
```

Space-group type: Pmmm
Total moment: 0.00 μB/cell


(4)
Computed, not measured: La6MgHg after structural relaxation at the PBE level of DFT. Values from VASP.

```
&SYSTEM
  ibrav = 0, nat = 8, ntyp = 3
/
ATOMIC_SPECIES
Mg 24.30 Mg.upf
La 138.91 La.upf
Hg 200.59 Hg.upf
CELL_PARAMETERS angstrom
-6.973 5.285 -3.535
-7.885 -3.437 -2.175
-6.080 1.488 1.638
ATOMIC_POSITIONS crystal
Mg 0.500 0.500 0.500
La 0.545 0.246 0.173
Hg 0.000 0.000 0.000
La 0.754 0.963 0.738
La 0.037 0.454 0.755
La 0.455 0.754 0.827
La 0.963 0.546 0.245
La 0.246 0.037 0.262
```

Space-group type: P-1
Total moment: 0.00 μB/cell
E above lowest polymorph: 0.069 eV/atom


(5)
Computed, not measured: La4MgHg2 after structural relaxation at the PBE level of DFT. Values from VASP.

```
&SYSTEM
  ibrav = 0, nat = 7, ntyp = 3
/
ATOMIC_SPECIES
Mg 24.30 Mg.upf
Hg 200.59 Hg.upf
La 138.91 La.upf
CELL_PARAMETERS angstrom
-3.262 -2.138 3.830
2.161 -2.203 4.512
-0.770 6.235 6.725
ATOMIC_POSITIONS crystal
Mg 0.000 0.000 0.000
Hg 0.738 0.738 0.785
La 0.134 0.134 0.597
Hg 0.262 0.262 0.215
La 0.866 0.866 0.403
La 0.611 0.611 0.166
La 0.389 0.389 0.834
```

Space-group type: R-3m
Total moment: 0.88 μB/cell


(6)
Computed, not measured: LaMg5Hg7 after structural relaxation at the PBE level of DFT. Values from VASP.

```
&SYSTEM
  ibrav = 0, nat = 13, ntyp = 3
/
ATOMIC_SPECIES
Hg 200.59 Hg.upf
Mg 24.30 Mg.upf
La 138.91 La.upf
CELL_PARAMETERS angstrom
5.731 0.000 2.354
2.911 6.975 1.065
0.215 -0.099 7.629
ATOMIC_POSITIONS crystal
Hg 0.331 0.669 0.669
Mg 0.496 0.006 0.492
Hg 0.992 0.346 0.671
Mg 0.006 0.492 0.006
La 0.997 0.003 0.003
Hg 0.992 0.671 0.346
Mg 0.006 0.006 0.492
Hg 0.649 0.351 0.351
Hg 0.274 0.226 0.226
Mg 0.496 0.492 0.006
Hg 0.512 0.183 0.793
Hg 0.512 0.793 0.183
Mg 0.737 0.763 0.763
```

Space-group type: Imm2
Total moment: 0.00 μB/cell


The calculation returns the following E values, one per record and in order: -15.68 -71.60 -9.26 -32.06 -23.66 -18.38 eV per cell.
The calculation returns the following energy of formation from the pure elements values, one per record and in order: -338 -45 -212 -74 -250 -259 meV/atom.